Entry from Alexandria: crystalline Tb2SiBr at its relaxed geometry (PBE-GGA).

Cell: 4.1429 7.1302 7.3974 Å, 90.00 90.00 90.00°
Closest atoms and distances in Å follow each position.
Atoms (fractional coordinates):
Tb  0.2500  0.0055  0.2106  3 Si 2.85-2.87, 2 Br 3.18
Tb  0.2500  0.4945  0.2106  3 Si 2.85-2.87, 2 Br 3.18
Tb  0.7500  0.5055  0.7894  3 Si 2.85-2.87, 2 Br 3.18
Tb  0.7500  0.9945  0.7894  3 Si 2.85-2.87, 2 Br 3.18
Si  0.2500  0.7500  0.9106  6 Tb 2.85-2.87
Si  0.7500  0.2500  0.0894  6 Tb 2.85-2.87
Br  0.2500  0.2500  0.5760  6 Tb 3.18-3.22
Br  0.7500  0.7500  0.4240  6 Tb 3.18-3.22

The calculation puts the volume at 27.3 A^3/atom. The energy above the most stable polymorph in this dataset is 0.492 eV per formula unit. The calculation puts the raw formation energy at -0.9091 eV per atom. The energy is -0.18368 hartree per atom.

Entry from Alexandria: crystalline LiFePd at its relaxed geometry (PBE-GGA).

Cell: 2.7060 2.7060 13.1446 Å, 90.00 90.00 120.00°
Closest atoms and distances in Å follow each position.
Atoms (fractional coordinates):
Li  0.0000  0.0000  0.1621  3 Pd 2.64, 6 Li 2.71, 3 Fe 2.76
Li  0.0000  0.0000  0.8379  3 Pd 2.64, 6 Li 2.71, 3 Fe 2.76
Fe  0.3333  0.6667  0.3349  3 Pd 2.67, 6 Fe 2.71, 3 Li 2.76
Fe  0.3333  0.6667  0.6651  3 Pd 2.67, 6 Fe 2.71, 3 Li 2.76
Pd  0.0000  0.0000  0.5000  6 Fe 2.67, 6 Pd 2.71
Pd  0.3333  0.6667  0.0000  6 Li 2.64, 6 Pd 2.71

The calculation puts the volume at 13.9 A^3/atom. Its formation enthalpy at 0 K is -0.05 eV per formula unit. The energy is -0.19139 hartree per atom.

Entry from Alexandria: crystalline AcPm2Tm at its relaxed geometry (PBE-GGA).

Cell: 3.7185 3.7185 10.3518 Å, 90.00 90.00 90.00°
Closest atoms and distances in Å follow each position.
Atoms (fractional coordinates):
Ac  0.0000  0.0000  0.0000  4 Ac 3.72, 8 Pm 3.80
Pm  0.5000  0.5000  0.2655  4 Tm 3.58, 4 Pm 3.72, 4 Ac 3.80
Pm  0.5000  0.5000  0.7345  4 Tm 3.58, 4 Pm 3.72, 4 Ac 3.80
Tm  0.0000  0.0000  0.5000  8 Pm 3.58, 4 Tm 3.72

The calculation puts the volume at 35.8 A^3/atom. The energy above the most stable polymorph in this dataset is 0.036 eV per formula unit. Its formation enthalpy at 0 K is 0.20 eV per formula unit. The energy is -0.16431 hartree per atom.

Entry from Alexandria: crystalline Nd6TlGe2Br3 at its relaxed geometry (PBE-GGA).

Cell: 9.8369 9.8369 8.8931 Å, 102.35 102.35 25.38°
Closest atoms and distances in Å follow each position.
Atoms (fractional coordinates):
Nd  0.0104  0.0104  0.2556  1 Ge 2.94, 2 Br 3.10, 2 Tl 3.11
Nd  0.3245  0.3245  0.4313  3 Ge 2.94-2.96, 3 Br 3.24-3.29
Nd  0.3340  0.3340  0.8852  2 Ge 2.94, 1 Tl 3.13, 1 Br 3.14
Nd  0.6660  0.6660  0.1148  2 Ge 2.94, 1 Tl 3.13, 1 Br 3.14
Nd  0.6755  0.6755  0.5687  3 Ge 2.94-2.96, 3 Br 3.24-3.29
Nd  0.9896  0.9896  0.7444  1 Ge 2.94, 2 Br 3.10, 2 Tl 3.11
Tl  0.5000  0.5000  0.0000  6 Nd 3.11-3.13
Ge  0.1676  0.1676  0.3390  6 Nd 2.94-2.96
Ge  0.8324  0.8324  0.6610  6 Nd 2.94-2.96
Br  0.1669  0.1669  0.8350  6 Nd 3.14-3.32
Br  0.5000  0.5000  0.5000  6 Nd 3.10-3.29
Br  0.8331  0.8331  0.1650  6 Nd 3.14-3.32

The calculation puts the volume at 30.0 A^3/atom. The calculation puts the raw formation energy at -1.0058 eV per atom. The energy is -0.17547 hartree per atom.

Entry from Alexandria: crystalline Sm5AlAg at its relaxed geometry (PBE-GGA).

Cell: 7.5915 7.5915 8.6018 Å, 108.47 108.47 101.68°
Closest atoms and distances in Å follow each position.
Atoms (fractional coordinates):
Sm  0.1509  0.3159  0.8914  2 Ag 2.99-3.12, 1 Al 3.26, 1 Sm 3.29
Sm  0.1840  0.8160  0.7500  2 Ag 3.05, 1 Al 3.11, 2 Sm 3.39
Sm  0.2178  0.5771  0.3602  2 Al 3.20-3.34, 6 Sm 3.29-3.53
Sm  0.3159  0.1509  0.3914  2 Ag 2.99-3.12, 1 Al 3.26, 1 Sm 3.29
Sm  0.4229  0.7822  0.1398  2 Al 3.20-3.34, 6 Sm 3.29-3.53
Sm  0.5771  0.2178  0.8602  2 Al 3.20-3.34, 6 Sm 3.29-3.53
Sm  0.6841  0.8491  0.6086  2 Ag 2.99-3.12, 1 Al 3.26, 1 Sm 3.29
Sm  0.7822  0.4229  0.6398  2 Al 3.20-3.34, 6 Sm 3.29-3.53
Sm  0.8160  0.1840  0.2500  2 Ag 3.05, 1 Al 3.11, 2 Sm 3.39
Sm  0.8491  0.6841  0.1086  2 Ag 2.99-3.12, 1 Al 3.26, 1 Sm 3.29
Al  0.4483  0.5517  0.7500  9 Sm 3.11-3.36
Al  0.5517  0.4483  0.2500  9 Sm 3.11-3.36
Ag  0.0000  0.0000  0.0000  6 Sm 2.99-3.12
Ag  0.0000  0.0000  0.5000  6 Sm 2.99-3.12

The calculation puts the volume at 30.0 A^3/atom. Its formation enthalpy at 0 K is 0.21 eV per formula unit. The energy is -0.15741 hartree per atom.

Entry from Alexandria: crystalline EuGdBiCl at its relaxed geometry (PBE-GGA).

Cell: 7.7215 7.7215 7.7215 Å, 90.00 90.00 90.00°
Closest atoms and distances in Å follow each position.
Atoms (fractional coordinates):
Eu  0.0000  0.0000  0.0000  4 Cl 3.34, 4 Bi 3.34
Eu  0.0000  0.5000  0.5000  4 Cl 3.34, 4 Bi 3.34
Eu  0.5000  0.0000  0.5000  4 Cl 3.34, 4 Bi 3.34
Eu  0.5000  0.5000  0.0000  4 Cl 3.34, 4 Bi 3.34
Gd  0.0000  0.0000  0.5000  4 Bi 3.34, 4 Cl 3.34
Gd  0.0000  0.5000  0.0000  4 Bi 3.34, 4 Cl 3.34
Gd  0.5000  0.0000  0.0000  4 Bi 3.34, 4 Cl 3.34
Gd  0.5000  0.5000  0.5000  4 Bi 3.34, 4 Cl 3.34
Bi  0.2500  0.2500  0.7500  4 Gd 3.34, 4 Eu 3.34
Bi  0.2500  0.7500  0.2500  4 Gd 3.34, 4 Eu 3.34
Bi  0.7500  0.2500  0.2500  4 Gd 3.34, 4 Eu 3.34
Bi  0.7500  0.7500  0.7500  4 Gd 3.34, 4 Eu 3.34
Cl  0.2500  0.2500  0.2500  4 Gd 3.34, 4 Eu 3.34
Cl  0.2500  0.7500  0.7500  4 Gd 3.34, 4 Eu 3.34
Cl  0.7500  0.2500  0.7500  4 Gd 3.34, 4 Eu 3.34
Cl  0.7500  0.7500  0.2500  4 Gd 3.34, 4 Eu 3.34

The calculation puts the volume at 28.8 A^3/atom. The calculation puts the raw formation energy at -1.0796 eV per atom. The energy is -0.31606 hartree per atom.

Entry from Alexandria: crystalline MnH3Pb at its relaxed geometry (PBE-GGA).

Cell: 4.2416 4.2416 4.2416 Å, 90.00 90.00 90.00°
Closest atoms and distances in Å follow each position.
Atoms (fractional coordinates):
Mn  0.0000  0.0000  0.0000  12 H 3.00
H  0.0000  0.5000  0.5000  2 Pb 2.12
H  0.5000  0.0000  0.5000  2 Pb 2.12
H  0.5000  0.5000  0.0000  2 Pb 2.12
Pb  0.5000  0.5000  0.5000  6 H 2.12

The calculation puts the volume at 15.3 A^3/atom. The energy above the most stable polymorph in this dataset is 3.327 eV per formula unit. The energy is -0.13397 hartree per atom.

Entry from Alexandria: crystalline Mo2AsRh at its relaxed geometry (PBE-GGA).

Cell: 3.0425 4.4613 8.9005 Å, 90.00 90.00 90.00°
Closest atoms and distances in Å follow each position.
Atoms (fractional coordinates):
Mo  0.0000  0.0000  0.0000  4 As 2.70, 2 Rh 2.82, 4 Mo 2.94-2.95
Mo  0.0000  0.5000  0.2172  2 As 2.55, 4 Rh 2.74
Mo  0.5000  0.0000  0.7172  2 As 2.55, 4 Rh 2.74
Mo  0.5000  0.5000  0.5000  4 As 2.70, 2 Rh 2.82, 4 Mo 2.94-2.95
As  0.0000  0.0000  0.4878  2 Rh 2.48, 6 Mo 2.55-2.70
As  0.5000  0.5000  0.9878  2 Rh 2.48, 6 Mo 2.55-2.70
Rh  0.0000  0.5000  0.7672  2 As 2.48, 4 Mo 2.74
Rh  0.5000  0.0000  0.2672  2 As 2.48, 4 Mo 2.74

The calculation puts the volume at 15.1 A^3/atom. Its formation enthalpy at 0 K is -0.26 eV per formula unit. The energy is -0.31166 hartree per atom.

Entry from Alexandria: crystalline BeCo4Ni15 at its relaxed geometry (PBE-GGA).

Cell: 3.5064 3.5064 17.3618 Å, 90.00 90.00 90.00°
Closest atoms and distances in Å follow each position.
Atoms (fractional coordinates):
Be  0.0000  0.0000  0.0000  12 Ni 2.41-2.48
Co  0.0000  0.0000  0.1955  12 Ni 2.47-2.49
Co  0.0000  0.0000  0.3990  12 Ni 2.48
Co  0.0000  0.0000  0.6010  12 Ni 2.48
Co  0.0000  0.0000  0.8045  12 Ni 2.47-2.49
Ni  0.0000  0.5000  0.0956  8 Ni 2.41-2.48, 2 Be 2.41, 2 Co 2.47
Ni  0.0000  0.5000  0.2977  8 Ni 2.48, 4 Co 2.48-2.49
Ni  0.0000  0.5000  0.5000  8 Ni 2.48, 4 Co 2.48
Ni  0.0000  0.5000  0.7023  8 Ni 2.48, 4 Co 2.48-2.49
Ni  0.0000  0.5000  0.9044  8 Ni 2.41-2.48, 2 Be 2.41, 2 Co 2.47
Ni  0.5000  0.0000  0.0956  8 Ni 2.41-2.48, 2 Be 2.41, 2 Co 2.47
Ni  0.5000  0.0000  0.2977  8 Ni 2.48, 4 Co 2.48-2.49
Ni  0.5000  0.0000  0.5000  8 Ni 2.48, 4 Co 2.48
Ni  0.5000  0.0000  0.7023  8 Ni 2.48, 4 Co 2.48-2.49
Ni  0.5000  0.0000  0.9044  8 Ni 2.41-2.48, 2 Be 2.41, 2 Co 2.47
Ni  0.5000  0.5000  0.0000  8 Ni 2.41, 4 Be 2.48
Ni  0.5000  0.5000  0.1970  8 Ni 2.48, 4 Co 2.48
Ni  0.5000  0.5000  0.3988  4 Co 2.48, 8 Ni 2.48
Ni  0.5000  0.5000  0.6012  4 Co 2.48, 8 Ni 2.48
Ni  0.5000  0.5000  0.8030  8 Ni 2.48, 4 Co 2.48

The calculation puts the volume at 10.7 A^3/atom. Its formation enthalpy at 0 K is -0.48 eV per formula unit. The energy is -0.21929 hartree per atom.

Entry from Alexandria: crystalline YH2Os at its relaxed geometry (PBE-GGA).

Cell: 4.3318 4.3318 10.1452 Å, 90.00 90.00 90.00°
Closest atoms and distances in Å follow each position.
Atoms (fractional coordinates):
Y  0.0000  0.0000  0.0000  4 H 2.25
Y  0.0000  0.5000  0.2500  4 H 2.25
Y  0.5000  0.0000  0.7500  4 H 2.25
Y  0.5000  0.5000  0.5000  4 H 2.25
H  0.1496  0.2500  0.6250  2 Os 1.79
H  0.2500  0.6496  0.8750  2 Os 1.79
H  0.2500  0.8504  0.3750  2 Os 1.79
H  0.3504  0.2500  0.1250  2 Os 1.79
H  0.6496  0.7500  0.1250  2 Os 1.79
H  0.7500  0.1496  0.3750  2 Os 1.79
H  0.7500  0.3504  0.8750  2 Os 1.79
H  0.8504  0.7500  0.6250  2 Os 1.79
Os  0.0000  0.0000  0.5000  4 H 1.79
Os  0.0000  0.5000  0.7500  4 H 1.79
Os  0.5000  0.0000  0.2500  4 H 1.79
Os  0.5000  0.5000  0.0000  4 H 1.79

The calculation puts the volume at 11.9 A^3/atom. The energy above the most stable polymorph in this dataset is 0.000 eV per formula unit. The energy is -0.22840 hartree per atom.

Entry from Alexandria: crystalline Zn3NiI at its relaxed geometry (PBE-GGA).

Cell: 4.7809 4.7809 4.7809 Å, 90.00 90.00 90.00°
Closest atoms and distances in Å follow each position.
Atoms (fractional coordinates):
Zn  0.0000  0.0000  0.5000  2 Ni 2.39
Zn  0.0000  0.5000  0.0000  2 Ni 2.39
Zn  0.5000  0.0000  0.0000  2 Ni 2.39
Ni  0.0000  0.0000  0.0000  6 Zn 2.39
I  0.5000  0.5000  0.5000  12 Zn 3.38

The calculation puts the volume at 21.9 A^3/atom. The energy above the most stable polymorph in this dataset is 0.000 eV per formula unit. The calculation puts the raw formation energy at 0.1845 eV per atom. The energy is -0.07519 hartree per atom.

Entry from Alexandria: crystalline ZrFeAu at its relaxed geometry (PBE-GGA).

Cell: 3.9143 3.9143 7.0601 Å, 90.00 90.00 90.00°
Closest atoms and distances in Å follow each position.
Atoms (fractional coordinates):
Zr  0.2500  0.2500  0.1711  5 Au 2.81-2.90, 4 Fe 3.04
Zr  0.7500  0.7500  0.8289  5 Au 2.81-2.90, 4 Fe 3.04
Fe  0.2500  0.7500  0.5000  4 Au 2.69, 4 Fe 2.77
Fe  0.7500  0.2500  0.5000  4 Au 2.69, 4 Fe 2.77
Au  0.2500  0.2500  0.7608  4 Fe 2.69, 5 Zr 2.81-2.90
Au  0.7500  0.7500  0.2392  4 Fe 2.69, 5 Zr 2.81-2.90

The calculation puts the volume at 18.0 A^3/atom. Its formation enthalpy at 0 K is -0.47 eV per formula unit. The energy is -0.25424 hartree per atom.